(1)
This record from the Alexandria database describes a geometry-optimized RbCaGa2Au structure. The functional is PBE. Values from VASP.

Results
volume = 159.84 Å³ per cell
space group = No. 123
ρ = 4.80 g/cm3
final energy = -2.32 eV/atom
ΔE_f = 144 meV per atom

Quantum ESPRESSO input file:
```
&SYSTEM
  ibrav = 0, nat = 5, ntyp = 4
/
ATOMIC_SPECIES
Rb 85.47 Rb.upf
Ca 40.08 Ca.upf
Ga 69.72 Ga.upf
Au 196.97 Au.upf
ATOMIC_POSITIONS crystal
Rb 0.000 0.000 0.000
Ca 0.500 0.500 0.000
Ga 0.000 0.500 0.500
Ga 0.500 0.000 0.500
Au 0.000 0.000 0.500
CELL_PARAMETERS angstrom
5.163 0.000 0.000
0.000 5.163 0.000
0.000 0.000 5.996
```

(2)
This record from the Alexandria database describes a geometry-optimized RbCaGa2Au structure. The functional is PBE. Values from VASP.

Results
volume = 189.86 Å³ per cell
space group = No. 123
ρ = 4.04 g/cm3
final energy = -2.22 eV/atom
ΔE_f = 238 meV per atom

Quantum ESPRESSO input file:
```
&SYSTEM
  ibrav = 0, nat = 5, ntyp = 4
/
ATOMIC_SPECIES
Rb 85.47 Rb.upf
Ca 40.08 Ca.upf
Ga 69.72 Ga.upf
Au 196.97 Au.upf
ATOMIC_POSITIONS crystal
Rb 0.000 0.000 0.000
Ca 0.500 0.500 0.500
Ga 0.000 0.500 0.500
Ga 0.500 0.000 0.500
Au 0.500 0.500 0.000
CELL_PARAMETERS angstrom
5.830 0.000 0.000
0.000 5.830 0.000
0.000 0.000 5.587
```

(3)
This record from the Alexandria database describes a geometry-optimized Ca3Ga2SbAu9 structure. The functional is PBE. Values from VASP.

Results
volume = 372.58 Å³ per cell
space group = No. 164
ρ = 9.60 g/cm3
formation energy from raw total energies = -30.32 kJ/mol of atoms
final energy = -3.36 eV/atom

Quantum ESPRESSO input file:
```
&SYSTEM
  ibrav = 0, nat = 15, ntyp = 4
/
ATOMIC_SPECIES
Ca 40.08 Ca.upf
Ga 69.72 Ga.upf
Sb 121.76 Sb.upf
Au 196.97 Au.upf
ATOMIC_POSITIONS crystal
Ca 0.000 0.000 0.000
Ca 0.333 0.667 0.657
Ca 0.667 0.333 0.343
Ga 0.333 0.667 0.146
Ga 0.667 0.333 0.854
Sb 0.000 0.000 0.500
Au 0.000 0.500 0.000
Au 0.172 0.345 0.315
Au 0.172 0.828 0.315
Au 0.345 0.172 0.685
Au 0.500 0.000 0.000
Au 0.500 0.500 0.000
Au 0.655 0.828 0.315
Au 0.828 0.172 0.685
Au 0.828 0.655 0.685
CELL_PARAMETERS angstrom
8.042 0.000 0.000
-4.021 6.964 0.000
0.000 0.000 6.652
```

(4)
This record from the Alexandria database describes a geometry-optimized Ca2GaSbAu6 structure. The functional is PBE. Values from VASP.

Results
volume = 481.86 Å³ per cell
space group = No. 59
ρ = 10.02 g/cm3
formation energy from raw total energies = -44.08 kJ/mol of atoms
final energy = -3.54 eV/atom

Quantum ESPRESSO input file:
```
&SYSTEM
  ibrav = 0, nat = 20, ntyp = 4
/
ATOMIC_SPECIES
Ca 40.08 Ca.upf
Ga 69.72 Ga.upf
Sb 121.76 Sb.upf
Au 196.97 Au.upf
ATOMIC_POSITIONS crystal
Ca 0.250 0.008 0.248
Ca 0.250 0.492 0.248
Ca 0.750 0.508 0.752
Ca 0.750 0.992 0.752
Ga 0.250 0.750 0.753
Ga 0.750 0.250 0.247
Sb 0.250 0.250 0.794
Sb 0.750 0.750 0.206
Au 0.001 0.750 0.967
Au 0.007 0.250 0.472
Au 0.250 0.012 0.610
Au 0.250 0.488 0.610
Au 0.493 0.250 0.472
Au 0.499 0.750 0.967
Au 0.501 0.250 0.033
Au 0.507 0.750 0.528
Au 0.750 0.512 0.390
Au 0.750 0.988 0.390
Au 0.993 0.750 0.528
Au 0.999 0.250 0.033
CELL_PARAMETERS angstrom
5.755 0.000 0.000
0.000 8.671 0.000
0.000 0.000 9.656
```